# 1
# LiEr2Cd3, relaxed, DFT PBE
# DOS at the Fermi energy: 4.40 states/eV/cell
# symmetry: P4/mmm (123)
# distance to the lowest polymorph of the same formula: 0.000 eV per atom
# final energy: -2.58 eV per atom
# formation enthalpy at 0 K: -0.278 eV/atom
data_LiEr2Cd3
_chemical_formula_sum 'Li1 Er2 Cd3'
_cell_length_a 3.5577
_cell_length_b 3.5577
_cell_length_c 11.1226
_cell_angle_alpha 90.00
_cell_angle_beta 90.00
_cell_angle_gamma 90.00
_symmetry_space_group_name_H-M 'P 1'
_symmetry_Int_Tables_number 1
loop_
_symmetry_equiv_pos_as_xyz
'x,y,z'
loop_
_atom_site_label
_atom_site_type_symbol
_atom_site_fract_x
_atom_site_fract_y
_atom_site_fract_z
_atom_site_occupancy
Li1 Li 0.0000 0.0000 0.0000 1
Er1 Er 0.0000 0.0000 0.3235 1
Er2 Er 0.0000 0.0000 0.6765 1
Cd1 Cd 0.5000 0.5000 0.1428 1
Cd2 Cd 0.5000 0.5000 0.5000 1
Cd3 Cd 0.5000 0.5000 0.8572 1

=====

# 2
# V2ZnCo, relaxed, DFT PBE
# DOS at the Fermi energy: 4.86 states/eV/cell
# symmetry: P4/mmm (123)
# final energy: -6.70 eV per atom
# formation enthalpy at 0 K: -0.050 eV/atom
data_V2ZnCo
_chemical_formula_sum 'V2 Zn1 Co1'
_cell_length_a 2.5952
_cell_length_b 2.5952
_cell_length_c 7.5681
_cell_angle_alpha 90.00
_cell_angle_beta 90.00
_cell_angle_gamma 90.00
_symmetry_space_group_name_H-M 'P 1'
_symmetry_Int_Tables_number 1
loop_
_symmetry_equiv_pos_as_xyz
'x,y,z'
loop_
_atom_site_label
_atom_site_type_symbol
_atom_site_fract_x
_atom_site_fract_y
_atom_site_fract_z
_atom_site_occupancy
V1 V 0.0000 0.0000 0.2258 1
V2 V 0.0000 0.0000 0.7742 1
Zn1 Zn 0.5000 0.5000 0.5000 1
Co1 Co 0.5000 0.5000 0.0000 1

=====

# 3
# LaPbS2N, relaxed, DFT PBE
# DOS at the Fermi energy: 4.44 states/eV/cell
# symmetry: P4/mmm (123)
# raw formation energy: -0.13 eV/atom
# distance to the lowest polymorph of the same formula: 0.010 eV per atom
# final energy: -5.17 eV per atom
data_LaPbS2N
_chemical_formula_sum 'La1 Pb1 S2 N1'
_cell_length_a 5.5542
_cell_length_b 5.5542
_cell_length_c 4.4436
_cell_angle_alpha 90.00
_cell_angle_beta 90.00
_cell_angle_gamma 90.00
_symmetry_space_group_name_H-M 'P 1'
_symmetry_Int_Tables_number 1
loop_
_symmetry_equiv_pos_as_xyz
'x,y,z'
loop_
_atom_site_label
_atom_site_type_symbol
_atom_site_fract_x
_atom_site_fract_y
_atom_site_fract_z
_atom_site_occupancy
La1 La 0.0000 0.0000 0.0000 1
Pb1 Pb 0.5000 0.5000 0.5000 1
S1 S 0.0000 0.5000 0.0000 1
S2 S 0.5000 0.0000 0.0000 1
N1 N 0.0000 0.0000 0.5000 1

=====

# 4
# Tb12Ga6N, relaxed, DFT PBE
# DOS at the Fermi energy: 14.72 states/eV/cell
# symmetry: R-3 (148)
# raw formation energy: -0.49 eV/atom
# final energy: -4.81 eV per atom
data_Tb12Ga6N
_chemical_formula_sum 'Tb12 Ga6 N1'
_cell_length_a 7.9424
_cell_length_b 7.9424
_cell_length_c 7.9424
_cell_angle_alpha 93.87
_cell_angle_beta 93.87
_cell_angle_gamma 93.87
_symmetry_space_group_name_H-M 'P 1'
_symmetry_Int_Tables_number 1
loop_
_symmetry_equiv_pos_as_xyz
'x,y,z'
loop_
_atom_site_label
_atom_site_type_symbol
_atom_site_fract_x
_atom_site_fract_y
_atom_site_fract_z
_atom_site_occupancy
Tb1 Tb 0.0390 0.9244 0.7058 1
Tb2 Tb 0.0756 0.2942 0.9610 1
Tb3 Tb 0.1942 0.4195 0.5443 1
Tb4 Tb 0.2942 0.9610 0.0756 1
Tb5 Tb 0.4195 0.5443 0.1942 1
Tb6 Tb 0.4557 0.8058 0.5805 1
Tb7 Tb 0.5443 0.1942 0.4195 1
Tb8 Tb 0.5805 0.4557 0.8058 1
Tb9 Tb 0.7058 0.0390 0.9244 1
Tb10 Tb 0.8058 0.5805 0.4557 1
Tb11 Tb 0.9244 0.7058 0.0390 1
Tb12 Tb 0.9610 0.0756 0.2942 1
Ga1 Ga 0.1451 0.7450 0.3553 1
Ga2 Ga 0.2550 0.6447 0.8549 1
Ga3 Ga 0.3553 0.1451 0.7450 1
Ga4 Ga 0.6447 0.8549 0.2550 1
Ga5 Ga 0.7450 0.3553 0.1451 1
Ga6 Ga 0.8549 0.2550 0.6447 1
N1 N 0.0000 0.0000 0.0000 1

=====

# 5
# SbBrO, relaxed, DFT PBE
# DOS at the Fermi energy: 0.00 states/eV/cell
# symmetry: P3m1 (156)
# raw formation energy: -0.75 eV/atom
# distance to the lowest polymorph of the same formula: 0.281 eV per atom
# final energy: -4.34 eV per atom
data_SbBrO
_chemical_formula_sum 'Sb1 Br1 O1'
_cell_length_a 3.7040
_cell_length_b 3.7040
_cell_length_c 6.3175
_cell_angle_alpha 90.00
_cell_angle_beta 90.00
_cell_angle_gamma 120.00
_symmetry_space_group_name_H-M 'P 1'
_symmetry_Int_Tables_number 1
loop_
_symmetry_equiv_pos_as_xyz
'x,y,z'
loop_
_atom_site_label
_atom_site_type_symbol
_atom_site_fract_x
_atom_site_fract_y
_atom_site_fract_z
_atom_site_occupancy
Sb1 Sb 0.0000 0.0000 0.0000 1
Br1 Br 0.6667 0.3333 0.6717 1
O1 O 0.3333 0.6667 0.1084 1

=====

# 6
# CoSeS, relaxed, DFT PBE
# DOS at the Fermi energy: 3.44 states/eV/cell
# symmetry: Pmn2_1 (31)
# raw formation energy: -0.30 eV/atom
# distance to the lowest polymorph of the same formula: 0.000 eV per atom
# final energy: -5.21 eV per atom
data_CoSeS
_chemical_formula_sum 'Co2 Se2 S2'
_cell_length_a 3.5464
_cell_length_b 4.7124
_cell_length_c 5.6583
_cell_angle_alpha 90.00
_cell_angle_beta 90.00
_cell_angle_gamma 90.00
_symmetry_space_group_name_H-M 'P 1'
_symmetry_Int_Tables_number 1
loop_
_symmetry_equiv_pos_as_xyz
'x,y,z'
loop_
_atom_site_label
_atom_site_type_symbol
_atom_site_fract_x
_atom_site_fract_y
_atom_site_fract_z
_atom_site_occupancy
Co1 Co 0.0000 0.2315 0.0000 1
Co2 Co 0.5000 0.7685 0.5000 1
Se1 Se 0.0000 0.4590 0.6221 1
Se2 Se 0.5000 0.5410 0.1221 1
S1 S 0.0000 0.0383 0.3696 1
S2 S 0.5000 0.9617 0.8696 1

=====

# 7
# PmThAu2, relaxed, DFT PBE
# DOS at the Fermi energy: 15.88 states/eV/cell
# symmetry: Fm-3m (225)
# distance to the lowest polymorph of the same formula: 0.056 eV per atom
# final energy: -5.34 eV per atom
# formation enthalpy at 0 K: -0.655 eV/atom
data_PmThAu2
_chemical_formula_sum 'Pm4 Th4 Au8'
_cell_length_a 7.4129
_cell_length_b 7.4129
_cell_length_c 7.4129
_cell_angle_alpha 90.00
_cell_angle_beta 90.00
_cell_angle_gamma 90.00
_symmetry_space_group_name_H-M 'P 1'
_symmetry_Int_Tables_number 1
loop_
_symmetry_equiv_pos_as_xyz
'x,y,z'
loop_
_atom_site_label
_atom_site_type_symbol
_atom_site_fract_x
_atom_site_fract_y
_atom_site_fract_z
_atom_site_occupancy
Pm1 Pm 0.0000 0.0000 0.0000 1
Pm2 Pm 0.0000 0.5000 0.5000 1
Pm3 Pm 0.5000 0.0000 0.5000 1
Pm4 Pm 0.5000 0.5000 0.0000 1
Th1 Th 0.0000 0.0000 0.5000 1
Th2 Th 0.0000 0.5000 0.0000 1
Th3 Th 0.5000 0.0000 0.0000 1
Th4 Th 0.5000 0.5000 0.5000 1
Au1 Au 0.2500 0.2500 0.2500 1
Au2 Au 0.2500 0.2500 0.7500 1
Au3 Au 0.2500 0.7500 0.2500 1
Au4 Au 0.2500 0.7500 0.7500 1
Au5 Au 0.7500 0.2500 0.2500 1
Au6 Au 0.7500 0.2500 0.7500 1
Au7 Au 0.7500 0.7500 0.2500 1
Au8 Au 0.7500 0.7500 0.7500 1

=====

# 8
# K3Co5, relaxed, DFT PBE
# DOS at the Fermi energy: 16.57 states/eV/cell
# symmetry: Cmmm (65)
# final energy: -3.67 eV per atom
# formation enthalpy at 0 K: 1.183 eV/atom
data_K3Co5
_chemical_formula_sum 'K6 Co10'
_cell_length_a 9.9698
_cell_length_b 10.5974
_cell_length_c 2.7246
_cell_angle_alpha 90.00
_cell_angle_beta 90.00
_cell_angle_gamma 90.00
_symmetry_space_group_name_H-M 'P 1'
_symmetry_Int_Tables_number 1
loop_
_symmetry_equiv_pos_as_xyz
'x,y,z'
loop_
_atom_site_label
_atom_site_type_symbol
_atom_site_fract_x
_atom_site_fract_y
_atom_site_fract_z
_atom_site_occupancy
K1 K 0.0000 0.0000 0.0000 1
K2 K 0.2410 0.5000 0.5000 1
K3 K 0.2590 0.0000 0.5000 1
K4 K 0.5000 0.5000 0.0000 1
K5 K 0.7410 0.0000 0.5000 1
K6 K 0.7590 0.5000 0.5000 1
Co1 Co 0.0000 0.3025 0.5000 1
Co2 Co 0.0000 0.5000 0.0000 1
Co3 Co 0.0000 0.6975 0.5000 1
Co4 Co 0.2500 0.2500 0.0000 1
Co5 Co 0.2500 0.7500 0.0000 1
Co6 Co 0.5000 0.0000 0.0000 1
Co7 Co 0.5000 0.1975 0.5000 1
Co8 Co 0.5000 0.8025 0.5000 1
Co9 Co 0.7500 0.2500 0.0000 1
Co10 Co 0.7500 0.7500 0.0000 1

=====

# 9
# VCo2Mo2, relaxed, DFT PBE
# DOS at the Fermi energy: 7.77 states/eV/cell
# symmetry: P4/mbm (127)
# distance to the lowest polymorph of the same formula: 0.148 eV per atom
# final energy: -8.73 eV per atom
# formation enthalpy at 0 K: 0.268 eV/atom
data_VCo2Mo2
_chemical_formula_sum 'V2 Co4 Mo4'
_cell_length_a 7.1968
_cell_length_b 7.1968
_cell_length_c 2.6604
_cell_angle_alpha 90.00
_cell_angle_beta 90.00
_cell_angle_gamma 90.00
_symmetry_space_group_name_H-M 'P 1'
_symmetry_Int_Tables_number 1
loop_
_symmetry_equiv_pos_as_xyz
'x,y,z'
loop_
_atom_site_label
_atom_site_type_symbol
_atom_site_fract_x
_atom_site_fract_y
_atom_site_fract_z
_atom_site_occupancy
V1 V 0.0000 0.0000 0.0000 1
V2 V 0.5000 0.5000 0.0000 1
Co1 Co 0.1263 0.3737 0.5000 1
Co2 Co 0.3737 0.8737 0.5000 1
Co3 Co 0.6263 0.1263 0.5000 1
Co4 Co 0.8737 0.6263 0.5000 1
Mo1 Mo 0.1687 0.6687 0.0000 1
Mo2 Mo 0.3313 0.1687 0.0000 1
Mo3 Mo 0.6687 0.8313 0.0000 1
Mo4 Mo 0.8313 0.3313 0.0000 1

=====

# 10
# MnAlReSe2, relaxed, DFT PBE
# DOS at the Fermi energy: 7.19 states/eV/cell
# symmetry: P4/mmm (123)
# raw formation energy: 1.28 eV/atom
# final energy: -5.18 eV per atom
data_MnAlReSe2
_chemical_formula_sum 'Mn1 Al1 Re1 Se2'
_cell_length_a 4.8288
_cell_length_b 4.8288
_cell_length_c 4.8903
_cell_angle_alpha 90.00
_cell_angle_beta 90.00
_cell_angle_gamma 90.00
_symmetry_space_group_name_H-M 'P 1'
_symmetry_Int_Tables_number 1
loop_
_symmetry_equiv_pos_as_xyz
'x,y,z'
loop_
_atom_site_label
_atom_site_type_symbol
_atom_site_fract_x
_atom_site_fract_y
_atom_site_fract_z
_atom_site_occupancy
Mn1 Mn 0.0000 0.0000 0.0000 1
Al1 Al 0.5000 0.5000 0.0000 1
Re1 Re 0.5000 0.5000 0.5000 1
Se1 Se 0.0000 0.5000 0.5000 1
Se2 Se 0.5000 0.0000 0.5000 1

=====

# 11
# Sm2Ga2GeRh5, relaxed, DFT PBE
# DOS at the Fermi energy: 6.15 states/eV/cell
# symmetry: P4/mbm (127)
# final energy: -6.43 eV per atom
# formation enthalpy at 0 K: -0.741 eV/atom
data_Sm2Ga2GeRh5
_chemical_formula_sum 'Sm4 Ga4 Ge2 Rh10'
_cell_length_a 9.8453
_cell_length_b 9.8453
_cell_length_c 3.5440
_cell_angle_alpha 90.00
_cell_angle_beta 90.00
_cell_angle_gamma 90.00
_symmetry_space_group_name_H-M 'P 1'
_symmetry_Int_Tables_number 1
loop_
_symmetry_equiv_pos_as_xyz
'x,y,z'
loop_
_atom_site_label
_atom_site_type_symbol
_atom_site_fract_x
_atom_site_fract_y
_atom_site_fract_z
_atom_site_occupancy
Sm1 Sm 0.1738 0.3262 0.0000 1
Sm2 Sm 0.3262 0.8262 0.0000 1
Sm3 Sm 0.6738 0.1738 0.0000 1
Sm4 Sm 0.8262 0.6738 0.0000 1
Ga1 Ga 0.1245 0.6245 0.0000 1
Ga2 Ga 0.3755 0.1245 0.0000 1
Ga3 Ga 0.6245 0.8755 0.0000 1
Ga4 Ga 0.8755 0.3755 0.0000 1
Ge1 Ge 0.0000 0.0000 0.0000 1
Ge2 Ge 0.5000 0.5000 0.0000 1
Rh1 Rh 0.0000 0.5000 0.5000 1
Rh2 Rh 0.0654 0.7988 0.5000 1
Rh3 Rh 0.2012 0.0654 0.5000 1
Rh4 Rh 0.2988 0.5654 0.5000 1
Rh5 Rh 0.4346 0.2988 0.5000 1
Rh6 Rh 0.5000 0.0000 0.5000 1
Rh7 Rh 0.5654 0.7012 0.5000 1
Rh8 Rh 0.7012 0.4346 0.5000 1
Rh9 Rh 0.7988 0.9346 0.5000 1
Rh10 Rh 0.9346 0.2012 0.5000 1

=====

# 12
# Nd3Dy3Ho8, relaxed, DFT PBE
# DOS at the Fermi energy: 21.94 states/eV/cell
# symmetry: Immm (71)
# final energy: -4.52 eV per atom
# formation enthalpy at 0 K: 0.108 eV/atom
data_Nd3Dy3Ho8
_chemical_formula_sum 'Nd3 Dy3 Ho8'
_cell_length_a 9.6614
_cell_length_b 9.6614
_cell_length_c 9.6614
_cell_angle_alpha 146.04
_cell_angle_beta 112.17
_cell_angle_gamma 78.06
_symmetry_space_group_name_H-M 'P 1'
_symmetry_Int_Tables_number 1
loop_
_symmetry_equiv_pos_as_xyz
'x,y,z'
loop_
_atom_site_label
_atom_site_type_symbol
_atom_site_fract_x
_atom_site_fract_y
_atom_site_fract_z
_atom_site_occupancy
Nd1 Nd 0.0000 0.0000 0.0000 1
Nd2 Nd 0.1836 0.6836 0.5000 1
Nd3 Nd 0.8164 0.3164 0.5000 1
Dy1 Dy 0.2037 0.5000 0.7037 1
Dy2 Dy 0.5000 0.5000 0.0000 1
Dy3 Dy 0.7963 0.5000 0.2963 1
Ho1 Ho 0.1190 0.2796 0.8393 1
Ho2 Ho 0.2390 0.8974 0.3417 1
Ho3 Ho 0.4403 0.2796 0.1607 1
Ho4 Ho 0.4443 0.1026 0.3417 1
Ho5 Ho 0.5557 0.8974 0.6583 1
Ho6 Ho 0.5597 0.7204 0.8393 1
Ho7 Ho 0.7610 0.1026 0.6583 1
Ho8 Ho 0.8810 0.7204 0.1607 1

=====

Question: Among the records above, which one has the lowest DOS at the Fermi energy?
Answer: SbBrO